Computed, not measured: crystalline Rb3DyCl6 at its relaxed geometry at the PBE-GGA level of DFT.

The value obtained for the density of states at the Fermi level is 0.000 states/eV/cell. The value obtained for the formation energy (no corrections) is -2.1440 eV/atom. As for the total DFT energy (no corrections): -160.1 eV per cell. The size of the total moment comes out at 0.0 μB per cell. The calculation puts the calculated density at 3.07 Mg/m³.

POSCAR file:
```
Rb3DyCl6
1.0
13.591 -0.072 0.019
11.220 7.669 0.019
2.066 0.633 13.013
Cl Dy Rb
24 4 12
Direct
0.892 0.983 0.710 Cl
0.154 0.207 0.466 Cl
0.131 0.369 0.686 Cl
0.017 0.108 0.790 Cl
0.740 0.151 0.438 Cl
0.647 0.477 0.319 Cl
0.151 0.740 0.938 Cl
0.523 0.353 0.181 Cl
0.846 0.793 0.534 Cl
0.869 0.631 0.314 Cl
0.385 0.275 0.926 Cl
0.108 0.017 0.290 Cl
0.615 0.725 0.074 Cl
0.793 0.846 0.034 Cl
0.207 0.154 0.966 Cl
0.849 0.260 0.062 Cl
0.477 0.647 0.819 Cl
0.725 0.615 0.574 Cl
0.369 0.131 0.186 Cl
0.275 0.385 0.426 Cl
0.631 0.869 0.814 Cl
0.983 0.892 0.210 Cl
0.260 0.849 0.562 Cl
0.353 0.523 0.681 Cl
0.500 0.000 0.000 Dy
0.000 0.500 0.500 Dy
0.802 0.198 0.250 Dy
0.198 0.802 0.750 Dy
0.647 0.023 0.309 Rb
0.023 0.647 0.809 Rb
0.353 0.977 0.691 Rb
0.718 0.170 0.945 Rb
0.977 0.353 0.191 Rb
0.282 0.830 0.055 Rb
0.834 0.471 0.853 Rb
0.170 0.718 0.445 Rb
0.830 0.282 0.555 Rb
0.166 0.529 0.147 Rb
0.471 0.834 0.353 Rb
0.529 0.166 0.647 Rb
```